The following is a PBE-GGA calculation of a geometry-optimized Cu8NiPd2 structure, from the Alexandria database.

Lattice parameters (Å, degrees): 5.6127 3.5476 7.6622 90.00 110.21 90.00
With the nearest neighbours (Å) after each atom.
Sites, in units of the cell vectors:
Cu  0.0052  0.0000  0.2291  6 Cu 2.48-2.52, 2 Ni 2.49, 2 Pd 2.55-2.59
Cu  0.3223  0.5000  0.8363  8 Cu 2.48-2.61, 1 Ni 2.53, 2 Pd 2.65
Cu  0.3416  0.0000  0.0859  9 Cu 2.49-2.58, 2 Ni 2.53, 1 Pd 2.74
Cu  0.3425  0.5000  0.3289  6 Cu 2.51-2.61, 1 Ni 2.59, 4 Pd 2.65-2.67
Cu  0.6584  0.0000  0.9141  9 Cu 2.49-2.58, 2 Ni 2.53, 1 Pd 2.74
Cu  0.6575  0.5000  0.6711  6 Cu 2.51-2.61, 1 Ni 2.59, 4 Pd 2.65-2.67
Cu  0.6777  0.5000  0.1637  8 Cu 2.48-2.61, 1 Ni 2.53, 2 Pd 2.65
Cu  0.9948  0.0000  0.7709  6 Cu 2.48-2.52, 2 Ni 2.49, 2 Pd 2.55-2.59
Ni  0.0000  0.5000  0.0000  12 Cu 2.49-2.59
Pd  0.2845  0.0000  0.5709  9 Cu 2.55-2.74
Pd  0.7155  0.0000  0.4291  9 Cu 2.55-2.74

Calculated values
Final energy   -48.598 eV per cell
Formation energy from the elements   31 meV per atom
Total moment   0.00 Bohr magnetons per cell
Volume   143.2 Å³/f.u.

The following is a PBE-GGA calculation of a geometry-optimized CuSeN3 structure, from the Alexandria database.

Lattice parameters (Å, degrees): 3.7658 3.7658 3.7658 90.00 90.00 90.00
With the nearest neighbours (Å) after each atom.
Sites, in units of the cell vectors:
Cu  0.0000  0.0000  0.0000  6 N 1.88
Se  0.5000  0.5000  0.5000  12 N 2.66
N  0.0000  0.0000  0.5000  2 Cu 1.88
N  0.0000  0.5000  0.0000  2 Cu 1.88
N  0.5000  0.0000  0.0000  2 Cu 1.88

Calculated values
ΔE_f (raw)   2.23 eV/atom
Final energy   -21.390 eV per cell
Total moment   0.00 Bohr magnetons per cell
Volume   53.4 Å³/f.u.

Going through the records in order, we get DOS(E_F) values of 4.862; 3.961 states/eV per cell.